Entry 1:
Here is crystalline LiHfGaCo at its relaxed geometry from the Open Quantum Materials Database. Energies are from GGA-PBE.

a = 4.3244 Å, b = 4.3244 Å, c = 4.3244 Å
α = 60.00°, β = 60.00°, γ = 60.00°
Last column: nearest neighbours and their distance in Å.
Element x y z (fractional)
Li 0.0000 0.0000 0.0000  4 Co 2.65, 4 Hf 2.65
Hf 0.2500 0.2500 0.2500  4 Li 2.65, 4 Ga 2.65
Ga 0.5000 0.5000 0.5000  4 Hf 2.65, 4 Co 2.65
Co 0.7500 0.7500 0.7500  4 Li 2.65, 4 Ga 2.65

Output
The calculated total energy comes out at -22.32 eV/f.u. The energy above the most stable polymorph in this dataset comes out at 260 meV/atom.



Entry 2:
Here is crystalline DyCu3Se2S2 at its relaxed geometry from the Open Quantum Materials Database. Energies are from GGA-PBE.

a = 6.7822 Å, b = 6.7822 Å, c = 5.6870 Å
α = 114.35°, β = 114.35°, γ = 48.88°
Last column: nearest neighbours and their distance in Å.
Element x y z (fractional)
Dy 0.0000 0.0000 0.0000  2 S 2.61, 2 Se 2.76
Cu 0.2270 0.2741 0.7295  2 S 2.29, 2 Se 2.43-2.44
Cu 0.4493 0.5507 0.5000  2 S 2.26, 2 Se 2.42
Cu 0.7259 0.7730 0.2705  2 S 2.29, 2 Se 2.43-2.44
Se 0.5575 0.1678 0.1380  3 Cu 2.42-2.44
Se 0.8322 0.4425 0.8620  3 Cu 2.42-2.44
S 0.1126 0.6118 0.5834  3 Cu 2.26-2.29
S 0.3882 0.8874 0.4166  3 Cu 2.26-2.29

Output
The calculated total energy comes out at -35.80 eV/f.u.



Entry 3:
Here is crystalline Cu5Ag at its relaxed geometry from the Open Quantum Materials Database. Energies are from GGA-PBE.

a = 4.5484 Å, b = 2.6603 Å, c = 6.3940 Å
α = 90.00°, β = 90.72°, γ = 90.00°
Last column: nearest neighbours and their distance in Å.
Element x y z (fractional)
Cu 0.0000 0.0000 0.0000  8 Cu 2.62-2.69, 4 Ag 2.63
Cu 0.1590 0.5000 0.3352  11 Cu 2.53-2.69, 1 Ag 2.66
Cu 0.3267 0.0000 0.6520  10 Cu 2.52-2.69, 2 Ag 2.70
Cu 0.6733 0.0000 0.3480  10 Cu 2.52-2.69, 2 Ag 2.70
Cu 0.8410 0.5000 0.6648  11 Cu 2.53-2.69, 1 Ag 2.66
Ag 0.5000 0.5000 0.0000  10 Cu 2.63-2.70, 2 Ag 2.66

Output
The calculated total energy comes out at -21.00 eV/f.u. For the energy relative to the elements, the calculation gives 0.07 eV per atom.



Entry 4:
Here is crystalline ScCoGe at its relaxed geometry from the Open Quantum Materials Database. Energies are from GGA-PBE.

a = 6.4913 Å, b = 4.0642 Å, c = 7.0201 Å
α = 90.00°, β = 90.00°, γ = 90.00°
Last column: nearest neighbours and their distance in Å.
Element x y z (fractional)
Sc 0.0022 0.2500 0.2001  4 Co 2.73-2.89, 5 Ge 2.81-2.86
Sc 0.4978 0.7500 0.7001  4 Co 2.73-2.89, 5 Ge 2.81-2.86
Sc 0.5022 0.2500 0.2999  4 Co 2.73-2.89, 5 Ge 2.81-2.86
Sc 0.9978 0.7500 0.7999  4 Co 2.73-2.89, 5 Ge 2.81-2.86
Co 0.1538 0.7500 0.4381  4 Ge 2.39-2.47
Co 0.3462 0.2500 0.9381  4 Ge 2.39-2.47
Co 0.6538 0.7500 0.0619  4 Ge 2.39-2.47
Co 0.8462 0.2500 0.5619  4 Ge 2.39-2.47
Ge 0.2140 0.2500 0.6082  4 Co 2.39-2.47
Ge 0.2860 0.7500 0.1082  4 Co 2.39-2.47
Ge 0.7140 0.2500 0.8918  4 Co 2.39-2.47
Ge 0.7860 0.7500 0.3918  4 Co 2.39-2.47

Output
The calculated total energy comes out at -20.25 eV/f.u.



Entry 5:
Here is crystalline NbC at its relaxed geometry from the Open Quantum Materials Database. Energies are from GGA-PBE.

a = 2.8029 Å, b = 2.8029 Å, c = 2.8029 Å
α = 90.00°, β = 90.00°, γ = 90.00°
Last column: nearest neighbours and their distance in Å.
Element x y z (fractional)
Nb 0.0000 0.0000 0.0000  8 C 2.43
C 0.5000 0.5000 0.5000  8 Nb 2.43

Output
The calculated total energy comes out at -18.40 eV/f.u. The energy above the most stable polymorph in this dataset comes out at 920 meV/atom.



Entry 6:
Here is crystalline AlB2Ir2 at its relaxed geometry from the Open Quantum Materials Database. Energies are from GGA-PBE.

a = 4.7377 Å, b = 4.7377 Å, c = 4.7377 Å
α = 131.42°, β = 131.42°, γ = 71.15°
Last column: nearest neighbours and their distance in Å.
Element x y z (fractional)
Al 0.0000 0.0000 0.0000  8 Ir 2.74, 10 B 2.88-3.00
B 0.3897 0.3897 0.0000  1 B 1.70
B 0.6103 0.6103 0.0000  1 B 1.70
Ir 0.2500 0.7500 0.5000  4 B 2.23
Ir 0.7500 0.2500 0.5000  4 B 2.23

Output
The calculated total energy comes out at -36.39 eV/f.u.